<i>
Crystalline Ba3Sn3Au8 at its relaxed geometry, computed with PBE-GGA.

space-group type	C2/m (12)

Cell: 4.769 9.277 9.564 Å, 64.62 75.56 75.11°
Positions (direct):
1 Au 0.890 0.843 0.378
2 Sn 0.000 0.500 0.500
3 Au 0.486 0.325 0.704
4 Au 0.362 0.022 0.255
5 Au 0.514 0.675 0.296
6 Au 0.136 0.568 0.160
7 Au 0.110 0.157 0.622
8 Ba 0.299 0.749 0.653
9 Ba 0.701 0.251 0.347
10 Ba 0.000 0.000 0.000
11 Sn 0.676 0.665 0.984
12 Au 0.638 0.978 0.745
13 Au 0.864 0.432 0.840
14 Sn 0.324 0.335 0.016

=====

<ii>
Crystalline Ba3Sn3Au8 at its relaxed geometry, computed with PBE-GGA.

space-group type	Immm (71)

Cell: 4.957 9.159 9.159 Å, 67.56 74.30 74.30°
Positions (direct):
1 Au 0.162 0.479 0.198
2 Ba 0.791 0.209 0.209
3 Sn 0.500 0.000 0.000
4 Au 0.362 0.350 0.926
5 Au 0.638 0.650 0.074
6 Au 0.638 0.074 0.650
7 Au 0.162 0.198 0.479
8 Ba 0.209 0.791 0.791
9 Ba 0.500 0.500 0.500
10 Au 0.838 0.802 0.521
11 Au 0.838 0.521 0.802
12 Sn 0.000 0.792 0.208
13 Au 0.362 0.926 0.350
14 Sn 0.000 0.208 0.792

=====

<i> (0.036 eV/atom below the next structure)

=====

<i>
Crystalline BaSnAu3 at its relaxed geometry, computed with PBE-GGA.

space-group type	Pm-3m (221)

Cell: 5.904 5.904 5.904 Å, 90.00 90.00 90.00°
Positions (direct):
1 Ba 0.000 0.000 0.000
2 Au 0.000 0.000 0.500
3 Au 0.000 0.500 0.000
4 Sn 0.500 0.500 0.500
5 Au 0.500 0.000 0.000

=====

<ii>
Crystalline BaSnAu3 at its relaxed geometry, computed with PBE-GGA.

space-group type	Pm-3m (221)

Cell: 5.345 5.345 5.345 Å, 90.00 90.00 90.00°
Positions (direct):
1 Ba 0.500 0.500 0.500
2 Au 0.000 0.000 0.500
3 Au 0.500 0.000 0.000
4 Sn 0.000 0.000 0.000
5 Au 0.000 0.500 0.000

=====

<iii>
Crystalline BaSnAu3 at its relaxed geometry, computed with PBE-GGA.

space-group type	Pnma (62)

Cell: 5.036 9.807 10.751 Å, 90.00 90.00 90.00°
Positions (direct):
1 Au 0.250 0.872 0.181
2 Sn 0.750 0.454 0.132
3 Au 0.750 0.704 0.253
4 Sn 0.750 0.954 0.368
5 Au 0.250 0.796 0.753
6 Ba 0.250 0.688 0.462
7 Au 0.750 0.128 0.819
8 Au 0.750 0.913 0.631
9 Au 0.250 0.087 0.369
10 Au 0.250 0.587 0.131
11 Ba 0.750 0.812 0.962
12 Sn 0.250 0.046 0.632
13 Ba 0.250 0.188 0.038
14 Au 0.750 0.628 0.681
15 Sn 0.250 0.546 0.868
16 Au 0.750 0.413 0.869
17 Au 0.250 0.372 0.319
18 Ba 0.750 0.312 0.538
19 Au 0.750 0.204 0.247
20 Au 0.250 0.296 0.747

=====

<iv>
Crystalline BaSnAu3 at its relaxed geometry, computed with PBE-GGA.

space-group type	Pbam (55)

Cell: 5.410 7.503 7.436 Å, 90.00 90.00 90.00°
Positions (direct):
1 Au 0.000 0.203 0.202
2 Au 0.500 0.500 0.000
3 Sn 0.000 0.000 0.500
4 Au 0.000 0.797 0.798
5 Ba 0.500 0.000 0.000
6 Au 0.000 0.703 0.298
7 Ba 0.500 0.500 0.500
8 Au 0.500 0.000 0.500
9 Au 0.000 0.297 0.702
10 Sn 0.000 0.500 0.000

=====

<iii> (0.089 eV/atom below the next structure)

=====

<i>
Crystalline BaSn3Au3 at its relaxed geometry, computed with PBE-GGA.

space-group type	P2_1/m (11)

Cell: 4.813 9.490 9.522 Å, 120.22 90.00 90.00°
Positions (direct):
1 Sn 0.750 0.958 0.721
2 Au 0.750 0.940 0.395
3 Sn 0.250 0.042 0.279
4 Au 0.250 0.060 0.605
5 Sn 0.750 0.765 0.044
6 Sn 0.250 0.235 0.956
7 Sn 0.250 0.722 0.765
8 Au 0.750 0.606 0.546
9 Ba 0.250 0.666 0.333
10 Sn 0.750 0.278 0.235
11 Ba 0.750 0.334 0.667
12 Au 0.250 0.394 0.454
13 Au 0.250 0.546 0.941
14 Au 0.750 0.454 0.059

=====

<ii>
Crystalline BaSn3Au3 at its relaxed geometry, computed with PBE-GGA.

space-group type	R-3 (148)

Cell: 8.108 8.108 9.114 Å, 63.59 63.59 60.00°
Positions (direct):
1 Au 0.096 0.738 0.695
2 Sn 0.406 0.811 0.668
3 Au 0.262 0.529 0.305
4 Au 0.904 0.262 0.305
5 Au 0.738 0.471 0.695
6 Au 0.471 0.096 0.695
7 Sn 0.886 0.594 0.332
8 Ba 0.334 0.334 0.997
9 Sn 0.811 0.114 0.668
10 Sn 0.114 0.406 0.668
11 Sn 0.594 0.189 0.332
12 Au 0.529 0.904 0.305
13 Ba 0.666 0.666 0.003
14 Sn 0.189 0.886 0.332

=====

<i> (0.048 eV/atom below the next structure)

=====

<i>
Crystalline BaSn2Au4 at its relaxed geometry, computed with PBE-GGA.

space-group type	Pnma (62)

Cell: 4.851 7.561 19.399 Å, 90.00 90.00 90.00°
Positions (direct):
1 Sn 0.250 0.755 0.057
2 Sn 0.750 0.572 0.689
3 Au 0.250 0.804 0.697
4 Sn 0.250 0.072 0.811
5 Ba 0.750 0.118 0.637
6 Ba 0.250 0.618 0.863
7 Sn 0.250 0.428 0.311
8 Au 0.250 0.391 0.007
9 Au 0.750 0.530 0.544
10 Au 0.250 0.109 0.507
11 Sn 0.250 0.745 0.557
12 Au 0.750 0.891 0.493
13 Au 0.250 0.030 0.956
14 Au 0.750 0.880 0.778
15 Au 0.250 0.696 0.197
16 Au 0.750 0.196 0.303
17 Au 0.250 0.120 0.222
18 Sn 0.750 0.245 0.943
19 Ba 0.250 0.882 0.363
20 Sn 0.750 0.255 0.443
21 Sn 0.750 0.928 0.189
22 Au 0.750 0.304 0.803
23 Ba 0.750 0.382 0.137
24 Au 0.750 0.609 0.993
25 Au 0.250 0.380 0.722
26 Au 0.250 0.470 0.456
27 Au 0.750 0.620 0.278
28 Au 0.750 0.970 0.044

=====

<ii>
Crystalline BaSn2Au4 at its relaxed geometry, computed with PBE-GGA.

space-group type	I4/mmm (139)

Cell: 6.634 6.634 6.634 Å, 103.53 103.53 122.15°
Positions (direct):
1 Sn 0.250 0.750 0.500
2 Sn 0.750 0.250 0.500
3 Au 0.500 0.734 0.234
4 Ba 0.000 0.000 0.000
5 Au 0.500 0.266 0.766
6 Au 0.266 0.500 0.766
7 Au 0.734 0.500 0.234

=====

<i> (0.165 eV/atom below the next structure)

=====

<i>
Crystalline BaSn4Au at its relaxed geometry, computed with PBE-GGA.

space-group type	Cmcm (63)

Cell: 4.836 7.538 9.749 Å, 90.00 104.36 90.00°
Positions (direct):
1 Sn 0.933 0.250 0.865
2 Sn 0.067 0.750 0.135
3 Sn 0.500 0.000 0.000
4 Sn 0.500 0.500 0.000
5 Au 0.220 0.750 0.439
6 Sn 0.317 0.047 0.634
7 Sn 0.683 0.953 0.366
8 Sn 0.317 0.453 0.634
9 Sn 0.683 0.547 0.366
10 Au 0.780 0.250 0.561
11 Ba 0.882 0.750 0.764
12 Ba 0.118 0.250 0.236

=====

<ii>
Crystalline BaSn4Au at its relaxed geometry, computed with PBE-GGA.

space-group type	P-1 (2)

Cell: 8.042 7.675 8.195 Å, 97.48 131.06 98.49°
Positions (direct):
1 Ba 0.202 0.250 0.955
2 Sn 0.785 0.779 0.509
3 Sn 0.701 0.110 0.314
4 Sn 0.245 0.749 0.000
5 Sn 0.299 0.890 0.686
6 Sn 0.303 0.594 0.385
7 Sn 0.215 0.221 0.491
8 Au 0.000 0.500 0.500
9 Sn 0.755 0.251 0.000
10 Sn 0.697 0.406 0.615
11 Ba 0.798 0.750 0.045
12 Au 0.500 0.000 0.500

=====

<i> (0.070 eV/atom below the next structure)

=====

<i>
Crystalline BaSrAu3 at its relaxed geometry, computed with PBE-GGA.

space-group type	Cmcm (63)

Cell: 4.309 4.724 14.841 Å, 90.00 98.35 90.00°
Positions (direct):
1 Au 0.317 0.750 0.635
2 Au 0.683 0.250 0.365
3 Au 0.474 0.250 0.948
4 Au 0.377 0.250 0.755
5 Au 0.526 0.750 0.052
6 Au 0.623 0.750 0.245
7 Ba 0.072 0.250 0.145
8 Sr 0.795 0.250 0.591
9 Ba 0.928 0.750 0.855
10 Sr 0.205 0.750 0.409

=====

<ii>
Crystalline BaSrAu3 at its relaxed geometry, computed with PBE-GGA.

space-group type	Pm-3m (221)

Cell: 5.926 5.926 5.926 Å, 90.00 90.00 90.00°
Positions (direct):
1 Sr 0.500 0.500 0.500
2 Au 0.000 0.500 0.000
3 Au 0.000 0.000 0.500
4 Ba 0.000 0.000 0.000
5 Au 0.500 0.000 0.000

=====

<iii>
Crystalline BaSrAu3 at its relaxed geometry, computed with PBE-GGA.

space-group type	Pm-3m (221)

Cell: 5.717 5.717 5.717 Å, 90.00 90.00 90.00°
Positions (direct):
1 Ba 0.500 0.500 0.500
2 Au 0.500 0.000 0.000
3 Au 0.000 0.500 0.000
4 Au 0.000 0.000 0.500
5 Sr 0.000 0.000 0.000

=====

<i> (0.455 eV/atom below the next structure)